This record from Alexandria describes a relaxed structure of CsAsHSe2. The functional is PBE-GGA.

Unit cell a=6.0664 b=6.0664 c=3.3480 alpha=90.00 beta=90.00 gamma=90.00
Atoms (fractional coordinates):
1 Cs 0.0000 0.0000 0.0000
2 As 0.5000 0.5000 0.0000
3 H 0.5000 0.5000 0.5000
4 Se 0.0000 0.5000 0.5000
5 Se 0.5000 0.0000 0.5000

Space group: P4/mmm
Crystal system: tetragonal
ΔE to the lowest computed polymorph in meV per atom: 0
E in eV/cell: -14.52


This record from Alexandria describes a relaxed structure of Pm6PuPb4. The functional is PBE-GGA.

Unit cell a=10.2231 b=10.2231 c=3.9739 alpha=90.00 beta=90.00 gamma=120.00
Atoms (fractional coordinates):
1 Pm 0.1913 0.3826 0.0000
2 Pm 0.1913 0.8087 0.0000
3 Pm 0.5379 0.0759 0.5000
4 Pm 0.5379 0.4621 0.5000
5 Pm 0.6174 0.8087 0.0000
6 Pm 0.9241 0.4621 0.5000
7 Pu 0.0000 0.0000 0.5000
8 Pb 0.3253 0.1627 0.0000
9 Pb 0.3333 0.6667 0.5000
10 Pb 0.8373 0.1627 0.0000
11 Pb 0.8373 0.6747 0.0000

Space group: P-6m2
Formation energy in meV/atom: -294.4
Crystal system: hexagonal
E in eV/cell: -60.91


This record from Alexandria describes a relaxed structure of Sm6SiIr2Br3. The functional is PBE-GGA.

Unit cell a=9.9140 b=9.9140 c=9.0051 alpha=108.26 beta=108.26 gamma=24.13
Atoms (fractional coordinates):
1 Sm 0.0185 0.0185 0.2352
2 Sm 0.3219 0.3219 0.4406
3 Sm 0.3412 0.3412 0.8728
4 Sm 0.6588 0.6588 0.1272
5 Sm 0.6781 0.6781 0.5594
6 Sm 0.9815 0.9815 0.7648
7 Si 0.5000 0.5000 0.0000
8 Ir 0.1689 0.1689 0.3420
9 Ir 0.8311 0.8311 0.6580
10 Br 0.1597 0.1597 0.8429
11 Br 0.5000 0.5000 0.5000
12 Br 0.8403 0.8403 0.1571

Space group: C2/m
ΔE_f (raw) in eV per atom: -1.0725
Crystal system: monoclinic
E in eV/cell: -69.35


This record from Alexandria describes a relaxed structure of GaAg2B. The functional is PBE-GGA.

Unit cell a=3.9556 b=3.9556 c=16.9072 alpha=90.00 beta=90.00 gamma=90.00
Atoms (fractional coordinates):
1 Ga 0.0000 0.0000 0.0000
2 Ga 0.0000 0.5000 0.2500
3 Ga 0.5000 0.0000 0.7500
4 Ga 0.5000 0.5000 0.5000
5 Ag 0.2286 0.2500 0.6250
6 Ag 0.2500 0.7286 0.8750
7 Ag 0.2500 0.7714 0.3750
8 Ag 0.2714 0.2500 0.1250
9 Ag 0.7286 0.7500 0.1250
10 Ag 0.7500 0.2286 0.3750
11 Ag 0.7500 0.2714 0.8750
12 Ag 0.7714 0.7500 0.6250
13 B 0.0000 0.0000 0.5000
14 B 0.0000 0.5000 0.7500
15 B 0.5000 0.0000 0.2500
16 B 0.5000 0.5000 0.0000

Space group: I-42d
Formation energy in meV/atom: 768.1
Crystal system: tetragonal
ΔE to the lowest computed polymorph in meV per atom: 0
E in eV/cell: -49.34


This record from Alexandria describes a relaxed structure of CeY2Tm6. The functional is PBE-GGA.

Unit cell a=6.4985 b=6.4985 c=13.2097 alpha=95.75 beta=95.75 gamma=94.37
Atoms (fractional coordinates):
1 Ce 0.0002 0.9998 0.2500
2 Ce 0.9998 0.0002 0.7500
3 Y 0.1511 0.4882 0.6768
4 Y 0.4882 0.1511 0.1768
5 Y 0.5118 0.8489 0.8232
6 Y 0.8489 0.5118 0.3232
7 Tm 0.1609 0.8253 0.5128
8 Tm 0.1747 0.8391 0.9872
9 Tm 0.1804 0.5168 0.1550
10 Tm 0.3279 0.3300 0.9171
11 Tm 0.3300 0.3279 0.4171
12 Tm 0.4832 0.8196 0.3450
13 Tm 0.5168 0.1804 0.6550
14 Tm 0.6700 0.6721 0.5829
15 Tm 0.6721 0.6700 0.0829
16 Tm 0.8196 0.4832 0.8450
17 Tm 0.8253 0.1609 0.0128
18 Tm 0.8391 0.1747 0.4872

Space group: C2/c
Formation energy in meV/atom: 90.7
Crystal system: monoclinic
ΔE to the lowest computed polymorph in meV per atom: 0
E in eV/cell: -89.75


This record from Alexandria describes a relaxed structure of CdBTe2. The functional is PBE-GGA.

Unit cell a=6.0650 b=6.0650 c=12.2542 alpha=90.00 beta=90.00 gamma=90.00
Atoms (fractional coordinates):
1 Cd 0.0000 0.0000 0.0000
2 Cd 0.0000 0.5000 0.2500
3 Cd 0.5000 0.0000 0.7500
4 Cd 0.5000 0.5000 0.5000
5 B 0.0000 0.0000 0.5000
6 B 0.0000 0.5000 0.7500
7 B 0.5000 0.0000 0.2500
8 B 0.5000 0.5000 0.0000
9 Te 0.1793 0.2500 0.6250
10 Te 0.2500 0.6793 0.8750
11 Te 0.2500 0.8207 0.3750
12 Te 0.3207 0.2500 0.1250
13 Te 0.6793 0.7500 0.1250
14 Te 0.7500 0.1793 0.3750
15 Te 0.7500 0.3207 0.8750
16 Te 0.8207 0.7500 0.6250

Space group: I-42d
ΔE_f (raw) in eV per atom: 0.3565
Crystal system: tetragonal
ΔE to the lowest computed polymorph in meV per atom: 0
E in eV/cell: -49.80


This record from Alexandria describes a relaxed structure of SnC2I. The functional is PBE-GGA.

Unit cell a=6.3744 b=6.3744 c=6.3744 alpha=90.00 beta=90.00 gamma=90.00
Atoms (fractional coordinates):
1 Sn 0.0000 0.0000 0.0000
2 Sn 0.0000 0.5000 0.5000
3 Sn 0.5000 0.0000 0.5000
4 Sn 0.5000 0.5000 0.0000
5 C 0.2500 0.2500 0.2500
6 C 0.2500 0.2500 0.7500
7 C 0.2500 0.7500 0.2500
8 C 0.2500 0.7500 0.7500
9 C 0.7500 0.2500 0.2500
10 C 0.7500 0.2500 0.7500
11 C 0.7500 0.7500 0.2500
12 C 0.7500 0.7500 0.7500
13 I 0.0000 0.0000 0.5000
14 I 0.0000 0.5000 0.0000
15 I 0.5000 0.0000 0.0000
16 I 0.5000 0.5000 0.5000

Space group: Fm-3m
ΔE_f (raw) in eV per atom: 2.6645
Crystal system: cubic
ΔE to the lowest computed polymorph in meV per atom: 702
E in eV/cell: -53.37


This record from Alexandria describes a relaxed structure of PmSc2Sb. The functional is PBE-GGA.

Unit cell a=4.6772 b=4.6772 c=4.5383 alpha=90.00 beta=90.00 gamma=90.00
Atoms (fractional coordinates):
1 Pm 0.0000 0.0000 0.0000
2 Sc 0.0000 0.5000 0.5000
3 Sc 0.5000 0.0000 0.5000
4 Sb 0.5000 0.5000 0.0000

Space group: P4/mmm
ΔE_f (raw) in eV per atom: -0.4741
Crystal system: tetragonal
ΔE to the lowest computed polymorph in meV per atom: 87
E in eV/cell: -23.43


This record from Alexandria describes a relaxed structure of LiP2IrS. The functional is PBE-GGA.

Unit cell a=4.1267 b=4.1267 c=4.3596 alpha=90.00 beta=90.00 gamma=90.00
Atoms (fractional coordinates):
1 Li 0.0000 0.0000 0.0000
2 P 0.0000 0.5000 0.0000
3 P 0.5000 0.0000 0.0000
4 Ir 0.5000 0.5000 0.5000
5 S 0.0000 0.0000 0.5000

Space group: P4/mmm
ΔE_f (raw) in eV per atom: 1.0088
Crystal system: tetragonal
ΔE to the lowest computed polymorph in meV per atom: 718
E in eV/cell: -20.68


This record from Alexandria describes a relaxed structure of PmNd4Tm2Th. The functional is PBE-GGA.

Unit cell a=11.4541 b=5.1278 c=10.2183 alpha=90.00 beta=116.63 gamma=90.00
Atoms (fractional coordinates):
1 Pm 0.0000 0.0000 0.0000
2 Pm 0.5000 0.5000 0.0000
3 Nd 0.2481 0.5000 0.6222
4 Nd 0.2490 0.0000 0.8717
5 Nd 0.2510 0.5000 0.1283
6 Nd 0.2519 0.0000 0.3778
7 Nd 0.7481 0.0000 0.6222
8 Nd 0.7490 0.5000 0.8717
9 Nd 0.7510 0.0000 0.1283
10 Nd 0.7519 0.5000 0.3778
11 Tm 0.0016 0.5000 0.7460
12 Tm 0.4984 0.0000 0.2540
13 Tm 0.5016 0.0000 0.7460
14 Tm 0.9984 0.5000 0.2540
15 Th 0.0000 0.0000 0.5000
16 Th 0.5000 0.5000 0.5000

Space group: C2/m
Formation energy in meV/atom: 40.8
Crystal system: monoclinic
E in eV/cell: -79.72


This record from Alexandria describes a relaxed structure of Rb3Ge5Se12. The functional is PBE-GGA.

Unit cell a=14.4518 b=14.4518 c=14.4518 alpha=109.47 beta=109.47 gamma=109.47
Atoms (fractional coordinates):
1 Rb 0.1250 0.2500 0.3750
2 Rb 0.1250 0.3750 0.7500
3 Rb 0.2500 0.3750 0.1250
4 Rb 0.2500 0.8750 0.6250
5 Rb 0.3750 0.1250 0.2500
6 Rb 0.3750 0.7500 0.1250
7 Rb 0.6250 0.2500 0.8750
8 Rb 0.6250 0.8750 0.7500
9 Rb 0.7500 0.1250 0.3750
10 Rb 0.7500 0.6250 0.8750
11 Rb 0.8750 0.6250 0.2500
12 Rb 0.8750 0.7500 0.6250
13 Ge 0.0000 0.0000 0.0000
14 Ge 0.0000 0.0000 0.5000
15 Ge 0.0000 0.5000 0.0000
16 Ge 0.0000 0.5000 0.5000
17 Ge 0.1250 0.7500 0.8750
18 Ge 0.1250 0.8750 0.2500
19 Ge 0.2500 0.1250 0.8750
20 Ge 0.2500 0.6250 0.3750
21 Ge 0.3750 0.2500 0.6250
22 Ge 0.3750 0.6250 0.7500
23 Ge 0.5000 0.0000 0.0000
24 Ge 0.5000 0.0000 0.5000
25 Ge 0.5000 0.5000 0.0000
26 Ge 0.5000 0.5000 0.5000
27 Ge 0.6250 0.3750 0.2500
28 Ge 0.6250 0.7500 0.3750
29 Ge 0.7500 0.3750 0.6250
30 Ge 0.7500 0.8750 0.1250
31 Ge 0.8750 0.1250 0.7500
32 Ge 0.8750 0.2500 0.1250
33 Se 0.0148 0.1989 0.1028
34 Se 0.0148 0.3159 0.9120
35 Se 0.0880 0.6028 0.4040
36 Se 0.0880 0.9852 0.6841
37 Se 0.0960 0.6989 0.6841
38 Se 0.0960 0.8972 0.4120
39 Se 0.1028 0.0148 0.1989
40 Se 0.1028 0.5880 0.9040
41 Se 0.1841 0.1989 0.5960
42 Se 0.1841 0.4852 0.5880
43 Se 0.1989 0.1028 0.0148
44 Se 0.1989 0.5960 0.1841
45 Se 0.3011 0.3159 0.9040
46 Se 0.3011 0.4852 0.3972
47 Se 0.3159 0.9040 0.3011
48 Se 0.3159 0.9120 0.0148
49 Se 0.3972 0.3011 0.4852
50 Se 0.3972 0.5960 0.9120
51 Se 0.4040 0.0880 0.6028
52 Se 0.4040 0.8159 0.8011
53 Se 0.4120 0.0960 0.8972
54 Se 0.4120 0.8159 0.5148
55 Se 0.4852 0.3972 0.3011
56 Se 0.4852 0.5880 0.1841
57 Se 0.5148 0.4120 0.8159
58 Se 0.5148 0.6028 0.6989
59 Se 0.5880 0.1841 0.4852
60 Se 0.5880 0.9040 0.1028
61 Se 0.5960 0.1841 0.1989
62 Se 0.5960 0.9120 0.3972
63 Se 0.6028 0.4040 0.0880
64 Se 0.6028 0.6989 0.5148
65 Se 0.6841 0.0880 0.9852
66 Se 0.6841 0.0960 0.6989
67 Se 0.6989 0.5148 0.6028
68 Se 0.6989 0.6841 0.0960
69 Se 0.8011 0.4040 0.8159
70 Se 0.8011 0.8972 0.9852
71 Se 0.8159 0.5148 0.4120
72 Se 0.8159 0.8011 0.4040
73 Se 0.8972 0.4120 0.0960
74 Se 0.8972 0.9852 0.8011
75 Se 0.9040 0.1028 0.5880
76 Se 0.9040 0.3011 0.3159
77 Se 0.9120 0.0148 0.3159
78 Se 0.9120 0.3972 0.5960
79 Se 0.9852 0.6841 0.0880
80 Se 0.9852 0.8011 0.8972

Space group: Ia-3d
ΔE_f (raw) in eV per atom: -0.2875
Crystal system: cubic
E in eV/cell: -294.21


This record from Alexandria describes a relaxed structure of Li2GaHOs. The functional is PBE-GGA.

Unit cell a=3.7133 b=3.7133 c=3.9882 alpha=90.00 beta=90.00 gamma=90.00
Atoms (fractional coordinates):
1 Li 0.0000 0.5000 0.0000
2 Li 0.5000 0.0000 0.0000
3 Ga 0.0000 0.0000 0.5000
4 H 0.5000 0.5000 0.0000
5 Os 0.5000 0.5000 0.5000

Space group: P4/mmm
Crystal system: tetragonal
E in eV/cell: -21.81